Record 1
Computed, not measured: a geometry-optimized CaCuP2 structure at the GGA-PBE level of DFT.

Properties
symmetry	I-42d (122)
calculated total energy	-4.678	eV per atom
energy relative to the elements	-448	meV per atom

abc: 4.621 4.621 8.324
angles: 73.89 73.89 90.00
Fractional positions:
P 0.777 0.125 0.250
P 0.973 0.625 0.250
P 0.375 0.223 0.750
P 0.875 0.027 0.750
Ca 0.500 0.500 0.000
Ca 0.250 0.750 0.500
Cu 0.000 0.000 0.000
Cu 0.750 0.250 0.500

---

Record 2
Computed, not measured: a geometry-optimized ReOsAu2 structure at the GGA-PBE level of DFT.

Properties
energy above the lowest structure with this stoichiometry	391	meV per atom
symmetry	Imm2 (44)
calculated total energy	-6.949	eV per atom
energy relative to the elements	609	meV per atom

abc: 5.770 5.770 5.770
angles: 152.26 130.60 57.59
Fractional positions:
Au 0.013 0.013 0.000
Au 0.735 0.235 0.500
Os 0.480 0.480 0.000
Re 0.273 0.773 0.500

---

Record 3
Computed, not measured: a geometry-optimized PaTaBeSi2 structure at the GGA-PBE level of DFT.

Properties
energy relative to the elements, uncorrected	-0.3579	eV per atom
symmetry	I-4m2 (119)
calculated total energy	-7.542	eV per atom

abc: 3.827 3.827 6.344
angles: 107.55 107.55 90.00
Fractional positions:
Pa 0.000 0.000 0.000
Ta 0.250 0.750 0.500
Be 0.750 0.250 0.500
Si 0.604 0.604 0.208
Si 0.396 0.396 0.792

---

Record 4
Computed, not measured: a geometry-optimized Ta2AlW structure at the GGA-PBE level of DFT.

Properties
symmetry	Pmmm (47)
calculated total energy	-10.053	eV per atom
energy relative to the elements	47	meV per atom

abc: 2.791 4.231 5.824
angles: 90.00 90.00 90.00
Fractional positions:
Al 0.500 0.500 0.750
W 0.500 0.500 0.250
Ta 0.000 0.000 0.998
Ta 0.000 0.000 0.502

---

Record 5
Computed, not measured: a geometry-optimized CdGa3Pb2Au4 structure at the GGA-PBE level of DFT.

Properties
symmetry	P-4m2 (115)
calculated total energy	-3.193	eV per atom
energy relative to the elements	-141	meV per atom

abc: 4.496 4.496 11.041
angles: 90.00 90.00 90.00
Fractional positions:
Cd 0.500 0.500 0.500
Ga 0.000 0.000 0.500
Ga 0.500 0.000 0.876
Ga 0.000 0.500 0.124
Pb 0.500 0.000 0.240
Pb 0.000 0.500 0.760
Au 0.500 0.500 0.000
Au 0.000 0.000 0.000
Au 0.500 0.000 0.647
Au 0.000 0.500 0.353

---

Record 6
Computed, not measured: a geometry-optimized PrDyMnAg structure at the GGA-PBE level of DFT.

Properties
symmetry	F-43m (216)
calculated total energy	-5.317	eV per atom
energy relative to the elements	34	meV per atom

abc: 5.194 5.194 5.194
angles: 60.00 60.00 60.00
Each line ends with the local moment (μB).
Fractional positions:
Pr 0.500 0.500 0.500  -0.19
Mn 0.750 0.750 0.750  3.63
Ag 0.250 0.250 0.250  -0.02
Dy 0.000 0.000 0.000  -0.27

---

Number 1: total moment 0.0 μB/f.u.. Number 2: total moment 0.0 μB/f.u.. Number 3: total moment 0.0 μB/f.u.. Number 4: total moment 0.0 μB/f.u.. Number 5: total moment 0.0 μB/f.u.. Number 6: total moment 3.1 μB/f.u..